Entry 1
Here is an optimized crystal structure of Tm2CoBi from Alexandria via LeMat-Bulk. Energies are from GGA-PBE.

The structure belongs to space group P4/mmm (No. 123); the cell edges are 3.340, 3.340 and 8.410 Å and the angles 90.00°, 90.00° and 90.00°. The asymmetric unit holds Tm at (0.000, 0.000, 0.191), Co at (0.500, 0.500, 0.000) and Bi at (0.500, 0.500, 0.500).

***

Entry 2
Here is an optimized crystal structure of Tm2CoBi from Alexandria via LeMat-Bulk. Energies are from GGA-PBE.

The structure belongs to space group R-3m (No. 166, hexagonal axes); the cell edges are 3.6989, 3.6989 and 28.1984 Å and the angles 90.00°, 90.00° and 120.00°. The asymmetric unit holds Tm at (0.0000, 0.0000, 0.1141), Co at (0.0000, 0.0000, 0.5000) and Bi at (0.0000, 0.0000, 0.0000).

***

Entry 3
Here is an optimized crystal structure of Tm2CoBi from Alexandria via LeMat-Bulk. Energies are from GGA-PBE.

The structure belongs to space group P2_1/m (No. 11); the cell edges are 6.170, 4.018 and 8.211 Å and the angles 90.00°, 110.03° and 90.00°. The asymmetric unit holds Tm at (0.154, 0.250, 0.384), Tm at (0.234, 0.750, 0.042), Co at (0.120, 0.250, 0.794) and Bi at (0.383, 0.750, 0.707).

***

The most stable arrangement is entry 3, and the next structure is 0.092 eV/atom less stable.